[1]
DFT (PBE-GGA) results for crystalline Pm3TaTl3S8 at its relaxed geometry.

Structure (POSCAR):
```
Pm3TaTl3S8
1.0
-7.3529 -2.7375 -1.3402
4.6459 -3.5506 5.3991
-3.3764 7.9584 2.2682
S Pm Tl Ta
8 3 3 1
Direct
0.2123 0.4245 0.6907
0.7664 0.9787 0.6907
0.2122 0.9787 0.6907
0.7361 0.4722 0.7080
0.2639 0.5278 0.2920
0.2336 0.0213 0.3093
0.7878 0.0213 0.3093
0.7877 0.5755 0.3093
0.5000 0.5000 0.5000
0.5000 0.0000 0.5000
0.0000 0.5000 0.5000
0.0000 0.0000 0.0000
0.0000 0.5000 0.0000
0.5000 0.5000 0.0000
0.0000 0.0000 0.5000
```

space group	R-3m (166)
size of the total moment	0.103	Bohr magnetons per cell
DOS at the Fermi energy	4.07	states/eV per cell

---

[2]
DFT (PBE-GGA) results for crystalline TbPm3S6 at its relaxed geometry.

Structure (POSCAR):
```
TbPm3S6
1.0
-1.4424 6.1374 -2.4264
1.8904 -2.2284 -6.7603
-9.6305 -3.0464 -1.6888
S Pm Tb
12 6 2
Direct
0.6754 0.1888 0.5826
0.1823 0.3149 0.4164
0.1578 0.0661 0.7537
0.3177 0.8149 0.0836
0.3422 0.5661 0.7463
0.3246 0.8112 0.4174
0.1754 0.3112 0.0826
0.6823 0.1851 0.9164
0.6578 0.4339 0.2537
0.8422 0.9339 0.2463
0.8177 0.6851 0.5836
0.8246 0.6888 0.9174
0.0409 0.5922 0.2485
0.9591 0.4078 0.7515
0.5409 0.9078 0.7485
0.0000 0.0000 0.5000
0.5000 0.5000 0.0000
0.4591 0.0922 0.2515
0.5000 0.5000 0.5000
0.0000 0.0000 0.0000
```

space group	P2_1/c (14)
size of the total moment	0.000	Bohr magnetons per cell
DOS at the Fermi energy	0.00	states/eV per cell
energy above the lowest structure with this stoichiometry	0.040	eV/atom

---

[3]
DFT (PBE-GGA) results for crystalline TbPmS2 at its relaxed geometry.

Structure (POSCAR):
```
TbPmS2
1.0
-1.3585 -3.6293 0.3342
1.2785 -2.2990 2.8651
-5.1089 0.3035 5.1637
Pm S Tb
1 2 1
Direct
0.6725 0.6725 0.9826
0.0848 0.0848 0.7455
0.2484 0.2484 0.2548
0.4943 0.4943 0.5171
```

space group	R3m (160)
size of the total moment	0.000	Bohr magnetons per cell
DOS at the Fermi energy	0.90	states/eV per cell
energy above the lowest structure with this stoichiometry	0.055	eV/atom

---

[4]
DFT (PBE-GGA) results for crystalline Tb2PmS at its relaxed geometry.

Structure (POSCAR):
```
Tb2PmS
1.0
3.6866 0.0000 0.0000
1.8433 3.1927 0.0000
1.8433 1.0642 10.1679
Pm Tb S
1 2 1
Direct
0.0000 0.0000 0.0000
0.1127 0.1127 0.6619
0.8873 0.8873 0.3381
0.5000 0.5000 0.5000
```

space group	R-3m (166)
size of the total moment	0.546	Bohr magnetons per cell
DOS at the Fermi energy	4.88	states/eV per cell

---

[5]
DFT (PBE-GGA) results for crystalline TbPm3S6 at its relaxed geometry.

Structure (POSCAR):
```
TbPm3S6
1.0
8.2112 -0.0068 -0.1849
-0.1889 8.2091 -0.1849
-0.0066 -0.0068 8.2133
Tb S Pm
2 12 6
Direct
0.0000 0.0000 0.0000
0.5000 0.5000 0.5000
0.5369 0.4074 0.1844
0.4631 0.5926 0.8156
0.9103 0.0781 0.3125
0.9219 0.6875 0.0897
0.8156 0.4631 0.5926
0.6875 0.0897 0.9219
0.1844 0.5369 0.4074
0.0897 0.9219 0.6875
0.5926 0.8156 0.4631
0.0781 0.3125 0.9103
0.3125 0.9103 0.0781
0.4074 0.1844 0.5369
0.0756 0.2484 0.5669
0.9244 0.7516 0.4331
0.2484 0.5669 0.0756
0.5669 0.0756 0.2484
0.4331 0.9244 0.7516
0.7516 0.4331 0.9244
```

space group	R-3 (148)
size of the total moment	0.000	Bohr magnetons per cell
DOS at the Fermi energy	0.00	states/eV per cell
energy above the lowest structure with this stoichiometry	0.000	eV/atom

---

[6]
DFT (PBE-GGA) results for crystalline Tb2PmS4 at its relaxed geometry.

Structure (POSCAR):
```
Tb2PmS4
1.0
3.8913 0.0000 0.0000
0.0000 12.0472 0.0000
0.0000 0.0000 14.1176
S Pm Tb
16 4 8
Direct
0.2500 0.7011 0.6875
0.7500 0.3688 0.0433
0.7500 0.5951 0.4215
0.7500 0.4570 0.7823
0.2500 0.9049 0.9215
0.7500 0.9570 0.7177
0.2500 0.2011 0.8125
0.7500 0.0951 0.0785
0.2500 0.1312 0.5433
0.7500 0.2989 0.3125
0.7500 0.8688 0.4567
0.2500 0.5430 0.2177
0.2500 0.4049 0.5785
0.7500 0.7989 0.1875
0.2500 0.0430 0.2823
0.2500 0.6312 0.9567
0.7500 0.2539 0.6670
0.2500 0.7461 0.3330
0.2500 0.2461 0.1670
0.7500 0.7539 0.8330
0.2500 0.9053 0.5941
0.7500 0.5947 0.0941
0.7500 0.0652 0.8867
0.2500 0.4053 0.9059
0.2500 0.4348 0.3867
0.2500 0.9348 0.1133
0.7500 0.5652 0.6133
0.7500 0.0947 0.4059
```

space group	Pnma (62)
size of the total moment	0.000	Bohr magnetons per cell
DOS at the Fermi energy	9.62	states/eV per cell
energy above the lowest structure with this stoichiometry	0.024	eV/atom

---

[7]
DFT (PBE-GGA) results for crystalline Tb2Pm2S3 at its relaxed geometry.

Structure (POSCAR):
```
Tb2Pm2S3
1.0
-2.5080 1.7362 -2.4586
3.6435 -4.3947 -3.7037
-4.9938 -4.2216 2.1164
Tb Pm S
2 2 3
Direct
0.3723 0.7451 0.1173
0.6277 0.2549 0.8827
0.1264 0.2507 0.3791
0.8736 0.7493 0.6209
0.0000 0.0000 0.0000
0.2497 0.4995 0.7578
0.7503 0.5005 0.2422
```

space group	C2/m (12)
size of the total moment	0.000	Bohr magnetons per cell
DOS at the Fermi energy	3.38	states/eV per cell

---

[8]
DFT (PBE-GGA) results for crystalline Tb5Pm3S8 at its relaxed geometry.

Structure (POSCAR):
```
Tb5Pm3S8
1.0
6.8762 0.0000 3.9387
2.3100 6.4765 3.9387
0.0125 0.0088 7.9497
Pm S Tb
3 8 5
Direct
0.0000 0.0000 0.5000
0.0000 0.5000 0.5000
0.5000 0.0000 0.5000
0.7500 0.7500 0.2429
0.7500 0.2570 0.2429
0.2500 0.7430 0.7571
0.2500 0.2500 0.7571
0.7430 0.2500 0.7571
0.2570 0.7500 0.2429
0.2536 0.2536 0.2393
0.7464 0.7464 0.7607
0.0000 0.5000 0.0000
0.5000 0.5000 0.0000
0.0000 0.0000 0.0000
0.5000 0.5000 0.5000
0.5000 0.0000 0.0000
```

space group	R-3m (166)
size of the total moment	0.000	Bohr magnetons per cell
DOS at the Fermi energy	8.73	states/eV per cell

---

[9]
DFT (PBE-GGA) results for crystalline TbPm3S at its relaxed geometry.

Structure (POSCAR):
```
TbPm3S
1.0
-3.0589 1.0227 -4.3993
3.2424 -3.2017 -2.9987
-3.1443 -4.2965 1.1875
Pm S Tb
3 1 1
Direct
0.5000 0.0000 0.0000
0.0000 0.0000 0.5000
0.0000 0.5000 0.0000
0.0000 0.0000 0.0000
0.5000 0.5000 0.5000
```

space group	Pm-3m (221)
size of the total moment	0.000	Bohr magnetons per cell
DOS at the Fermi energy	5.56	states/eV per cell

---

[10]
DFT (PBE-GGA) results for crystalline Tb4Pm3S8 at its relaxed geometry.

Structure (POSCAR):
```
Tb4Pm3S8
1.0
-4.7147 -2.4555 -5.8804
-1.4864 -2.2492 7.4696
-0.1276 7.6110 2.2627
Pm S Tb
3 8 4
Direct
0.5000 0.5000 0.0000
0.5000 0.0000 0.5000
0.5000 0.5000 0.5000
0.9938 0.2454 0.2454
0.5045 0.7555 0.7555
0.0000 0.7519 0.2481
0.0000 0.2481 0.7519
0.5000 0.7532 0.2468
0.5000 0.2468 0.7532
0.0062 0.7546 0.7546
0.4955 0.2445 0.2445
0.5000 0.0000 0.0000
0.0000 0.5000 0.0000
0.0000 0.0000 0.0000
0.0000 0.0000 0.5000
```

space group	C2/m (12)
size of the total moment	0.000	Bohr magnetons per cell
DOS at the Fermi energy	6.69	states/eV per cell

---

[11]
DFT (PBE-GGA) results for crystalline Tb3PmS4 at its relaxed geometry.

Structure (POSCAR):
```
Tb3PmS4
1.0
3.9188 0.0000 0.0000
0.0000 6.5079 -2.2045
0.0000 -0.0403 6.8710
S Tb Pm
4 3 1
Direct
0.0000 0.7432 0.7432
0.5000 0.2533 0.7467
0.5000 0.7467 0.2533
0.0000 0.2568 0.2568
0.5000 0.5000 0.5000
0.0000 0.5000 0.0000
0.0000 0.0000 0.5000
0.5000 0.0000 0.0000
```

space group	Cmmm (65)
size of the total moment	0.000	Bohr magnetons per cell
DOS at the Fermi energy	4.81	states/eV per cell
energy above the lowest structure with this stoichiometry	0.000	eV/atom

---

[12]
DFT (PBE-GGA) results for crystalline Tb2Pm3S8 at its relaxed geometry.

Structure (POSCAR):
```
Tb2Pm3S8
1.0
-4.8217 -3.4522 3.4142
0.6496 -6.1202 -5.2708
5.9919 1.5797 5.1328
Tb Pm S
2 3 8
Direct
0.6547 0.7369 0.4738
0.3453 0.2631 0.5262
0.5000 0.0000 0.0000
0.0000 0.2640 0.0000
0.0000 0.7360 0.0000
0.9362 0.1196 0.2392
0.4173 0.3606 0.2555
0.4173 0.8949 0.2555
0.8964 0.6181 0.2363
0.5827 0.1051 0.7445
0.5827 0.6394 0.7445
0.0638 0.8804 0.7608
0.1036 0.3819 0.7637
```

space group	C2/m (12)
size of the total moment	0.003	Bohr magnetons per cell
DOS at the Fermi energy	8.26	states/eV per cell

---

The following raw formation energy values (in meV/atom) correspond, in order, to the records above: -1318.7; -2018.6; -1970.6; -753.2; -2058.8; -2044.8; -1728.7; -2014.6; -669.6; -2056.0; -2012.5; -1833.9.
The following uncorrected energy values (in eV/f.u.) correspond, in order, to the records above: -86.0; -63.8; -25.5; -21.2; -64.2; -44.8; -43.2; -102.7; -26.4; -96.6; -51.3; -80.4.